DFT (PBE) results for crystalline CeSc2AlPd4 at its relaxed geometry.

Properties
V	450.9	Å³ per cell
energy of formation from the pure elements	-0.81	eV/atom
VASP energy	-148.67	eV for the cell shown
density	7.54	g/cm3

The structure in CIF format:
```
data_CeSc2AlPd4
_cell_length_a 4.6073
_cell_length_b 4.6073
_cell_length_c 24.5297
_cell_angle_alpha 90.00
_cell_angle_beta 90.00
_cell_angle_gamma 120.00
_space_group_name_H-M_alt 'R -3 m'
_space_group_IT_number 166
_space_group_name_Hall '-R 3 2"'
loop_
_atom_site_label
_atom_site_type_symbol
_atom_site_fract_x
_atom_site_fract_y
_atom_site_fract_z
Ce1 Ce 0.0000 0.0000 0.0000
Sc1 Sc 0.0000 0.0000 0.2409
Al1 Al 0.0000 0.0000 0.5000
Pd1 Pd 0.0000 0.0000 0.1301
Pd2 Pd 0.0000 0.0000 0.3957
```